1.
LaRuAu3 | Alexandria via LeMat-Bulk | PBE-GGA | optimized geometry; mass density = 10.87 g/cm³; energy = -4.64 eV per atom; crystal system = cubic; size of the total moment = 0.00 μB/f.u.; space group = No. 221; ΔE_f = 0.17 eV/atom
1.0
5.025 0.000 0.000
0.000 5.025 0.000
0.000 0.000 5.025
La Ru Au
1 1 3
Direct
0.000 0.000 0.000 La
0.500 0.500 0.500 Ru
0.000 0.500 0.500 Au
0.500 0.000 0.500 Au
0.500 0.500 0.000 Au

***

2.
BeAlSN2 | Alexandria via LeMat-Bulk | PBE-GGA | optimized geometry; mass density = 2.27 g/cm³; energy = -4.86 eV per atom; crystal system = tetragonal; size of the total moment = 1.15 μB/f.u.; energy relative to the elements, uncorrected = 0.789 eV per atom; space group = No. 123
1.0
3.554 0.000 0.000
0.000 3.554 0.000
0.000 0.000 5.561
Be Al S N
1 1 1 2
Direct
0.000 0.000 0.000 Be
0.500 0.500 0.500 Al
0.500 0.500 0.000 S
0.000 0.500 0.500 N
0.500 0.000 0.500 N

***

Going through the records in order, we get density of states at the Fermi level values of 0.849, 0.409 states/eV per atom.
Going through the records in order, we get volume values of 126.9, 70.2 Å³/f.u..